No. 1
A plane-wave DFT calculation with PBE-GGA was carried out for an optimized crystal structure of KAu2O4.

excess energy over the best structure of this formula in the dataset = 0 meV/atom
Fermi-level density of states = 0.48 states/eV/atom
total magnetization = 1.0 μB per formula unit

Lattice parameters (Å, degrees): 6.970 6.970 6.970 122.69 122.69 85.40
Fractional coordinates of all 14 atoms:
K 0.375 0.125 0.250
K 0.625 0.875 0.750
Au 0.000 0.000 0.500
Au 0.000 0.500 0.000
Au 0.000 0.500 0.500
Au 0.500 0.500 0.000
O 0.023 0.675 0.857
O 0.175 0.818 0.652
O 0.318 0.166 0.643
O 0.334 0.477 0.152
O 0.666 0.523 0.848
O 0.682 0.834 0.357
O 0.825 0.182 0.348
O 0.977 0.325 0.143

***

No. 2
A plane-wave DFT calculation with PBE-GGA was carried out for an optimized crystal structure of K7Au2O2.

excess energy over the best structure of this formula in the dataset = 0 meV/atom
Fermi-level density of states = 0.32 states/eV/atom
total magnetization = 0.0 μB per formula unit

Lattice parameters (Å, degrees): 9.460 9.460 5.280 97.78 97.78 124.04
Fractional coordinates of all 11 atoms:
K 0.000 0.000 0.000
K 0.127 0.431 0.174
K 0.366 0.366 0.694
K 0.431 0.127 0.174
K 0.569 0.873 0.826
K 0.634 0.634 0.306
K 0.873 0.569 0.826
Au 0.181 0.819 0.500
Au 0.819 0.181 0.500
O 0.312 0.312 0.168
O 0.688 0.688 0.832

***

No. 3
A plane-wave DFT calculation with PBE-GGA was carried out for an optimized crystal structure of K7Au2O.

excess energy over the best structure of this formula in the dataset = 167 meV/atom
Fermi-level density of states = 0.43 states/eV/atom
total magnetization = 0.0 μB per formula unit

Lattice parameters (Å, degrees): 8.561 8.561 8.561 60.00 60.00 60.00
Fractional coordinates of all 10 atoms:
K 0.000 0.000 0.000
K 0.289 0.289 0.711
K 0.289 0.711 0.289
K 0.289 0.711 0.711
K 0.711 0.289 0.289
K 0.711 0.289 0.711
K 0.711 0.711 0.289
Au 0.250 0.250 0.250
Au 0.750 0.750 0.750
O 0.500 0.500 0.500

***

No. 4
A plane-wave DFT calculation with PBE-GGA was carried out for an optimized crystal structure of K8AuO4.

calculated total energy = -43.4 eV/f.u.
Fermi-level density of states = 1.61 states/eV/atom
total magnetization = 1.1 μB per formula unit

Lattice parameters (Å, degrees): 8.084 8.084 10.582 124.40 124.40 60.17
Fractional coordinates of all 13 atoms:
K 0.001 0.001 0.165
K 0.012 0.487 0.162
K 0.483 0.483 0.146
K 0.487 0.012 0.162
K 0.513 0.988 0.838
K 0.517 0.517 0.854
K 0.988 0.513 0.838
K 0.999 0.999 0.835
Au 0.500 0.500 0.500
O 0.234 0.234 0.969
O 0.247 0.753 0.000
O 0.753 0.247 0.000
O 0.766 0.766 0.031

***

No. 5
A plane-wave DFT calculation with PBE-GGA was carried out for an optimized crystal structure of K4AuO.

excess energy over the best structure of this formula in the dataset = 0 meV/atom
Fermi-level density of states = 0.51 states/eV/atom
total magnetization = 0.6 μB per formula unit

Lattice parameters (Å, degrees): 6.893 6.893 10.812 90.00 90.00 79.60
Fractional coordinates of all 12 atoms:
K 0.222 0.778 0.565
K 0.222 0.778 0.935
K 0.266 0.363 0.250
K 0.363 0.266 0.750
K 0.637 0.734 0.250
K 0.734 0.637 0.750
K 0.778 0.222 0.065
K 0.778 0.222 0.435
Au 0.109 0.891 0.250
Au 0.891 0.109 0.750
O 0.382 0.618 0.750
O 0.618 0.382 0.250

***

No. 6
A plane-wave DFT calculation with PBE-GGA was carried out for an optimized crystal structure of K2AuO.

calculated total energy = -12.8 eV/f.u.
Fermi-level density of states = 0.22 states/eV/atom
total magnetization = 1.0 μB per formula unit

Lattice parameters (Å, degrees): 6.656 10.410 8.542 90.00 116.46 90.00
Fractional coordinates of all 16 atoms:
K 0.211 0.100 0.008
K 0.211 0.400 0.508
K 0.215 0.656 0.970
K 0.215 0.844 0.470
K 0.785 0.156 0.530
K 0.785 0.344 0.030
K 0.789 0.600 0.492
K 0.789 0.900 0.992
Au 0.433 0.123 0.722
Au 0.433 0.377 0.222
Au 0.567 0.623 0.778
Au 0.567 0.877 0.278
O 0.219 0.631 0.654
O 0.219 0.869 0.154
O 0.781 0.131 0.846
O 0.781 0.369 0.346

***

No. 7
A plane-wave DFT calculation with PBE-GGA was carried out for an optimized crystal structure of KAuO2.

calculated total energy = -17.4 eV/f.u.
Fermi-level density of states = 0.00 states/eV/atom
total magnetization = 0.0 μB per formula unit

Lattice parameters (Å, degrees): 3.082 3.774 5.881 90.00 90.00 90.00
Fractional coordinates of all 4 atoms:
K 0.000 0.000 0.000
Au 0.000 0.500 0.500
O 0.500 0.500 0.271
O 0.500 0.500 0.729

***

No. 8
A plane-wave DFT calculation with PBE-GGA was carried out for an optimized crystal structure of KAu2O4.

excess energy over the best structure of this formula in the dataset = 109 meV/atom
Fermi-level density of states = 0.91 states/eV/atom
total magnetization = 1.0 μB per formula unit

Lattice parameters (Å, degrees): 7.169 7.169 5.566 90.00 90.00 90.00
Fractional coordinates of all 14 atoms:
K 0.000 0.500 0.000
K 0.500 0.000 0.500
Au 0.000 0.200 0.500
Au 0.000 0.800 0.500
Au 0.200 0.000 0.000
Au 0.800 0.000 0.000
O 0.204 0.204 0.250
O 0.204 0.204 0.750
O 0.204 0.796 0.250
O 0.204 0.796 0.750
O 0.796 0.204 0.250
O 0.796 0.204 0.750
O 0.796 0.796 0.250
O 0.796 0.796 0.750